No. 1
The following is a DFT calculation (SCAN) of MgRhPb3 at its PBEsol-relaxed geometry.

## Properties
ΔE_f (meV/atom): 156
DOS at the Fermi energy (states/eV/atom): 0.83
Final energy (eV/f.u.): -265.31
Symmetry: No. 221

Cell: 5.2502 5.2502 5.2502 Å, 90.00 90.00 90.00°
Atoms (fractional coordinates):
Mg: 0.0000 0.0000 0.0000
Rh: 0.5000 0.5000 0.5000
Pb: 0.0000 0.5000 0.5000
Pb: 0.5000 0.0000 0.5000
Pb: 0.5000 0.5000 0.0000

No. 2
The following is a DFT calculation (SCAN) of Sr2LaTl at its PBEsol-relaxed geometry.

## Properties
ΔE_f (meV/atom): -281
DOS at the Fermi energy (states/eV/atom): 1.02
Final energy (eV/f.u.): -161.14
Polymorph energy (0 for the lowest one) (meV/atom): 0.0
Symmetry: No. 99

Cell: 3.9769 3.9769 9.9380 Å, 90.00 90.00 90.00°
Atoms (fractional coordinates):
Sr: 0.0000 0.0000 0.0000
Sr: 0.5000 0.5000 0.3267
La: 0.5000 0.5000 0.7117
Tl: 0.0000 0.0000 0.5331

No. 3
The following is a DFT calculation (SCAN) of Os3Pt at its PBEsol-relaxed geometry.

## Properties
ΔE_f (meV/atom): 155
DOS at the Fermi energy (states/eV/atom): 0.64
Final energy (eV/f.u.): -285.21
Symmetry: No. 123

Cell: 2.7033 2.7033 7.7617 Å, 90.00 90.00 90.00°
Atoms (fractional coordinates):
Os: 0.0000 0.0000 0.0000
Os: 0.5000 0.5000 0.2421
Os: 0.5000 0.5000 0.7579
Pt: 0.0000 0.0000 0.5000

No. 4
The following is a DFT calculation (SCAN) of Cr3NiAg at its PBEsol-relaxed geometry.

## Properties
ΔE_f (meV/atom): 952
DOS at the Fermi energy (states/eV/atom): 0.88
Final energy (eV/f.u.): -97.93
Symmetry: No. 221

Cell: 4.4319 4.4319 4.4319 Å, 90.00 90.00 90.00°
Atoms (fractional coordinates):
Cr: 0.0000 0.0000 0.5000
Cr: 0.0000 0.5000 0.0000
Cr: 0.5000 0.0000 0.0000
Ni: 0.0000 0.0000 0.0000
Ag: 0.5000 0.5000 0.5000